VASP calculation (PBE) on a geometry-optimized Al2AuCl structure.

POSCAR file:
```
Al2AuCl
1.0
-1.223 1.810 -2.574
1.743 -2.751 -0.891
-6.626 -4.251 0.160
Al Au Cl
2 1 1
Cartesian
-3.182 -2.041 0.077
-0.131 -0.084 0.003
-1.397 -1.533 -1.692
-4.710 -3.658 -1.612
```

Output
Its raw formation energy is -143.2 meV/atom. The calculation puts the total energy at -3.30 eV per atom. The space group is Cmmm, No. 65. Its volume is 81.3 Å³ per cell. As for the relative energy among the computed polymorphs: 355 meV/atom. For the spin magnetization, the calculation gives 0.000 μB per atom.

***

VASP calculation (PBE) on a geometry-optimized BiTePd2 structure.

POSCAR file:
```
BiTePd2
1.0
-3.245 -1.727 0.079
1.518 -3.007 -3.397
1.660 -2.966 3.366
Pd Bi Te
2 1 1
Cartesian
0.759 -1.503 -1.698
0.830 -1.483 1.683
-0.034 -3.850 0.024
-1.623 -0.864 0.039
```

Output
Its raw formation energy is -196.8 meV/atom. The calculation puts the total energy at -4.55 eV per atom. The space group is P4/mmm, No. 123. Its volume is 84.1 Å³ per cell. As for the relative energy among the computed polymorphs: 156 meV/atom. For the spin magnetization, the calculation gives 0.000 μB per atom.